(1)
Below is a relaxed structure of Na7Hg4Pb, with properties calculated at the GGA-PBE level.

extended XYZ file:
```
12
Lattice="-1.992 -1.608 -4.706 -2.735 -0.907 4.517 -6.227 11.810 -1.400" Properties=species:S:1:pos:R:3 pbc="T T T"
Na -5.963 5.688 -2.469
Hg -4.510 2.931 -2.142
Na -1.601 3.036 -0.360
Na -7.807 9.184 -2.883
Na -4.626 8.774 -1.040
Na 0.000 0.000 0.000
Hg -7.852 9.034 0.236
Pb -3.114 5.905 -0.700
Hg -6.444 6.365 0.553
Na -3.147 0.112 1.294
Hg -3.102 0.262 -1.826
Na -4.991 3.607 0.880
```

Crystal system   trigonal
Symmetry   No. 164

---

(2)
Below is a relaxed structure of Na6Hg2Pb, with properties calculated at the GGA-PBE level.

extended XYZ file:
```
9
Lattice="-2.881 3.959 -2.319 -4.525 1.804 2.372 3.225 9.188 5.351" Properties=species:S:1:pos:R:3 pbc="T T T"
Na -2.246 12.348 4.886
Hg -5.768 7.852 1.586
Na -0.593 9.386 4.104
Na -0.063 4.992 2.271
Hg 1.588 7.099 3.818
Pb 0.000 0.000 0.000
Na -3.587 5.565 1.299
Na -1.934 2.603 0.518
Na -4.118 9.959 3.132
```

Crystal system   trigonal
Symmetry   No. 166

---

(3)
Below is a relaxed structure of Na8Hg3Pb, with properties calculated at the GGA-PBE level.

extended XYZ file:
```
12
Lattice="10.050 0.000 0.862 -5.281 5.623 2.517 -0.513 0.000 5.895" Properties=species:S:1:pos:R:3 pbc="T T T"
Hg 3.636 2.759 6.741
Na 7.398 0.000 3.173
Na 0.526 0.000 2.587
Na 2.301 2.788 3.583
Hg 3.971 0.000 2.808
Hg -1.132 2.863 3.363
Na -2.980 2.835 6.100
Na 2.098 0.000 5.729
Na 5.496 2.792 3.860
Na 0.214 2.831 6.376
Pb 8.739 0.000 6.180
Na 5.312 0.000 6.005
```

Crystal system   monoclinic
Symmetry   No. 8

---

| no. | total DFT energy (no corrections) (eV/atom) |
| --- | --- |
| 1 | -1.363 |
| 2 | -1.508 |
| 3 | -1.427 |